(1)
BaSrLa | PBE | optimized geometry

a = 7.1545 Å, b = 7.1545 Å, c = 7.1545 Å
α = 147.64°, β = 131.00°, γ = 59.95°
With the nearest neighbours (Å) after each atom.
Atoms (fractional coordinates):
Sr: 0.6718 0.6718 0.0000  2 Sr 3.99, 5 Ba 4.00-4.19, 5 La 4.10-4.20
La: 0.3333 0.3333 0.0000  2 La 3.99, 5 Ba 4.10-4.20, 5 Sr 4.10-4.20
Ba: 0.9949 0.9949 0.0000  2 Ba 3.99, 5 Sr 4.00-4.19, 5 La 4.10-4.20

Calculated values
The size of the total moment comes out at 0.029 Bohr magnetons per cell. Its formation energy is 0.1849 eV per atom. The calculation puts the excess energy over the best structure of this formula in the dataset at 62 meV/atom.


(2)
BaSr2La | PBE | optimized geometry

a = 6.5688 Å, b = 3.9842 Å, c = 7.7489 Å
α = 79.66°, β = 90.00°, γ = 90.00°
With the nearest neighbours (Å) after each atom.
Atoms (fractional coordinates):
La: 0.5000 0.7479 0.7508  2 La 3.98, 4 Sr 3.99-4.06, 2 Ba 3.99
Sr: 0.0000 0.0034 0.9931  2 Ba 3.90-4.15, 4 Sr 3.98-4.04, 2 La 4.00
Sr: 0.5000 0.2517 0.2462  4 Sr 3.98-4.04, 2 La 3.99-4.06, 2 Ba 4.08
Ba: 0.0000 0.4970 0.5099  4 Sr 3.90-4.15, 2 Ba 3.98, 2 La 3.99

Calculated values
The size of the total moment comes out at 0.000 Bohr magnetons per cell. Its formation energy is 0.1322 eV per atom. The calculation puts the excess energy over the best structure of this formula in the dataset at 25 meV/atom.


(3)
BaSrLa | PBE | optimized geometry

a = 6.3053 Å, b = 6.3053 Å, c = 6.3053 Å
α = 60.00°, β = 60.00°, γ = 60.00°
With the nearest neighbours (Å) after each atom.
Atoms (fractional coordinates):
Ba: 0.5000 0.5000 0.5000  4 La 3.86
La: 0.7500 0.7500 0.7500  4 Sr 3.86, 4 Ba 3.86
Sr: 0.0000 0.0000 0.0000  4 La 3.86

Calculated values
The size of the total moment comes out at 0.031 Bohr magnetons per cell. Its formation energy is 0.6977 eV per atom. The calculation puts the excess energy over the best structure of this formula in the dataset at 575 meV/atom.


(4)
BaSrLa | PBE | optimized geometry

a = 10.5303 Å, b = 10.2562 Å, c = 3.9675 Å
α = 82.91°, β = 75.13°, γ = 21.96°
With the nearest neighbours (Å) after each atom.
Atoms (fractional coordinates):
Ba: 0.9945 0.9945 0.0055  2 La 3.95, 4 Ba 3.97, 2 Sr 4.23
Sr: 0.6737 0.6737 0.3263  2 La 3.88, 4 Sr 3.97, 2 Ba 4.23
La: 0.3318 0.3318 0.6682  2 Sr 3.88, 2 Ba 3.95, 4 La 3.97

Calculated values
The size of the total moment comes out at 0.012 Bohr magnetons per cell. Its formation energy is 0.1527 eV per atom. The calculation puts the excess energy over the best structure of this formula in the dataset at 30 meV/atom.